# 1
Material: CeDy3Cd2
Method: DFT, PBE
State: optimized geometry

```
CeDy3Cd2
1.0
3.575 0.000 0.000
0.000 3.575 0.000
0.000 0.000 12.813
Ce Dy Cd
1 3 2
Cartesian
1.787 1.787 6.407
0.000 0.000 0.000
0.000 0.000 8.749
0.000 0.000 4.065
1.787 1.787 10.778
1.787 1.787 2.035
```

Output
**Size of the total moment**: 0.2 Bohr magnetons per cell
**Uncorrected energy**: -3.772 eV/atom
**Space group**: No. 123

# 2
Material: CeDy2Cd
Method: DFT, PBE
State: optimized geometry

```
CeDy2Cd
1.0
4.747 0.000 0.000
0.000 4.887 0.000
0.000 0.000 4.887
Cd Ce Dy
1 1 2
Cartesian
2.373 0.000 0.000
2.373 2.443 2.443
0.000 0.000 2.443
0.000 2.443 0.000
```

Output
**Size of the total moment**: 1.5 Bohr magnetons per cell
**Uncorrected energy**: -4.053 eV/atom
**Energy relative to the lowest polymorph listed for this composition**: 0.073 eV/atom
**Space group**: No. 123

# 3
Material: CeDyCd2
Method: DFT, PBE
State: optimized geometry

```
CeDyCd2
1.0
4.587 0.000 0.000
0.000 4.803 0.000
0.000 0.000 4.803
Cd Ce Dy
2 1 1
Cartesian
0.000 0.000 2.401
0.000 2.401 0.000
2.294 0.000 0.000
2.294 2.401 2.401
```

Output
**Size of the total moment**: 1.2 Bohr magnetons per cell
**Uncorrected energy**: -3.269 eV/atom
**Energy relative to the lowest polymorph listed for this composition**: 0.041 eV/atom
**Space group**: No. 123

# 4
Material: CeDyCd4
Method: DFT, PBE
State: optimized geometry

```
CeDyCd4
1.0
-2.028 -0.331 -5.573
2.887 -3.283 -4.021
-2.406 -5.053 -1.989
Cd Ce Dy
4 1 1
Cartesian
0.237 -2.889 -6.245
-2.412 -3.775 -5.228
-0.967 -5.418 -7.241
0.048 -5.252 -4.452
-0.387 -2.167 -2.896
0.000 0.000 0.000
```

Output
**Size of the total moment**: 1.0 Bohr magnetons per cell
**Uncorrected energy**: -2.584 eV/atom
**Energy relative to the lowest polymorph listed for this composition**: 0.060 eV/atom
**Space group**: No. 216

# 5
Material: CeDy2Cd
Method: DFT, PBE
State: optimized geometry

```
CeDy2Cd
1.0
-0.444 3.286 -4.239
1.536 -1.677 -4.878
-3.690 -0.984 -3.793
Cd Ce Dy
1 1 2
Cartesian
-1.299 0.312 -6.455
0.000 0.000 0.000
-0.649 0.156 -3.227
-1.948 0.468 -9.682
```

Output
**Size of the total moment**: 0.0 Bohr magnetons per cell
**Uncorrected energy**: -3.949 eV/atom
**Energy relative to the lowest polymorph listed for this composition**: 0.176 eV/atom
**Space group**: No. 225

# 6
Material: CeDyCd3
Method: DFT, PBE
State: optimized geometry

```
CeDyCd3
1.0
-1.481 -2.911 -0.936
0.319 -1.687 4.741
-12.707 7.334 3.463
Ce Dy Cd
2 2 6
Cartesian
-11.944 2.281 5.636
-1.925 0.455 1.632
-5.552 1.266 4.846
-8.317 1.469 2.422
-3.803 -1.277 3.823
-10.066 4.013 3.445
-1.157 -2.434 3.234
-12.713 5.170 4.034
-5.410 0.199 1.775
-8.460 2.537 5.493
```

Output
**Size of the total moment**: 2.8 Bohr magnetons per cell
**Uncorrected energy**: -2.905 eV/atom
**Space group**: No. 63

# 7
Material: CeDy3Cd4
Method: DFT, PBE
State: optimized geometry

```
CeDy3Cd4
1.0
-3.024 4.263 -0.924
-2.586 -0.291 7.124
7.936 6.310 3.138
Cd Ce Dy
8 2 6
Cartesian
-3.473 1.911 4.941
0.495 5.066 6.510
-2.137 2.061 1.260
1.831 5.216 2.829
3.989 4.514 7.756
-3.000 5.617 5.264
-1.664 5.768 1.583
5.325 4.665 4.074
-1.293 -0.146 3.562
2.675 3.010 5.131
0.000 0.000 0.000
3.968 3.155 1.569
4.438 6.866 1.892
0.473 3.707 0.323
3.145 6.721 5.453
-0.820 3.561 3.885
```

Output
**Size of the total moment**: 4.5 Bohr magnetons per cell
**Uncorrected energy**: -3.182 eV/atom
**Space group**: No. 123

# 8
Material: CeDyCd2
Method: DFT, PBE
State: optimized geometry

```
CeDyCd2
1.0
-3.277 -0.433 -0.878
0.722 -3.140 -1.146
-1.735 -3.371 8.141
Cd Ce Dy
2 1 1
Cartesian
-1.318 -2.561 6.183
-0.417 -0.811 1.958
-2.145 -3.472 3.058
-1.277 -1.787 -1.012
```

Output
**Size of the total moment**: 0.9 Bohr magnetons per cell
**Uncorrected energy**: -3.310 eV/atom
**Energy relative to the lowest polymorph listed for this composition**: 0.000 eV/atom
**Space group**: No. 123

Please write out number 4 again, unchanged.
Material: CeDyCd4
Method: DFT, PBE
State: optimized geometry

```
CeDyCd4
1.0
-2.028 -0.331 -5.573
2.887 -3.283 -4.021
-2.406 -5.053 -1.989
Cd Ce Dy
4 1 1
Cartesian
0.237 -2.889 -6.245
-2.412 -3.775 -5.228
-0.967 -5.418 -7.241
0.048 -5.252 -4.452
-0.387 -2.167 -2.896
0.000 0.000 0.000
```

Output
**Size of the total moment**: 1.0 Bohr magnetons per cell
**Uncorrected energy**: -2.584 eV/atom
**Energy relative to the lowest polymorph listed for this composition**: 0.060 eV/atom
**Space group**: No. 216